(1)
This record from the Open Quantum Materials Database describes a relaxed structure of Pr3P4Pd7. The functional is PBE-GGA.

Cell lengths 8.152, 8.152, 9.600 Å; angles 124.67, 124.67, 29.12 degrees
Atoms (fractional coordinates):
P 0.895 0.895 0.181
P 0.660 0.660 0.261
P 0.340 0.340 0.739
P 0.105 0.105 0.819
Pd 0.694 0.694 0.028
Pd 0.509 0.509 0.281
Pd 0.166 0.166 0.418
Pd 0.000 0.000 0.500
Pd 0.834 0.834 0.582
Pd 0.491 0.491 0.719
Pd 0.306 0.306 0.972
Pr 0.000 0.000 0.000
Pr 0.319 0.319 0.322
Pr 0.681 0.681 0.678

Output
magnetization: 0.00 μB per cell
E_tot: -6.11 eV per atom
symmetry: C2/m (12)

---

(2)
This record from the Open Quantum Materials Database describes a relaxed structure of Pr2P3Pd6. The functional is PBE-GGA.

Cell lengths 7.405, 7.405, 4.199 Å; angles 90.00, 90.00, 120.00 degrees
Atoms (fractional coordinates):
P 0.637 0.000 0.500
P 0.363 0.363 0.500
P 0.000 0.637 0.500
Pd 0.788 0.000 0.000
Pd 0.212 0.212 0.000
Pd 0.000 0.788 0.000
Pd 0.311 0.000 0.500
Pd 0.000 0.311 0.500
Pd 0.689 0.689 0.500
Pr 0.667 0.333 0.000
Pr 0.333 0.667 0.000

Output
magnetization: 0.02 μB per cell
E_tot: -6.07 eV per atom
symmetry: P-62m (189)

---

(3)
This record from the Open Quantum Materials Database describes a relaxed structure of Pr2P2PdPt. The functional is PBE-GGA.

Cell lengths 4.224, 4.224, 8.071 Å; angles 90.00, 90.00, 120.00 degrees
Atoms (fractional coordinates):
P 0.333 0.667 0.000
P 0.000 0.000 0.500
Pd 0.000 0.000 0.000
Pr 0.667 0.333 0.249
Pr 0.667 0.333 0.751
Pt 0.333 0.667 0.500

Output
magnetization: 0.00 μB per cell
E_tot: -6.55 eV per atom
symmetry: P-6m2 (187)

---

(4)
This record from the Open Quantum Materials Database describes a relaxed structure of PPd3Pt. The functional is PBE-GGA.

Cell lengths 5.593, 5.593, 5.344 Å; angles 105.19, 105.19, 90.23 degrees
Atoms (fractional coordinates):
P 0.249 0.249 0.007
P 0.751 0.751 0.993
Pd 0.570 0.071 0.282
Pd 0.071 0.570 0.282
Pd 0.573 0.573 0.284
Pd 0.427 0.427 0.716
Pd 0.929 0.430 0.718
Pd 0.430 0.929 0.718
Pt 0.069 0.069 0.286
Pt 0.931 0.931 0.714

Output
magnetization: 0.00 μB per cell
E_tot: -5.78 eV per atom
symmetry: C2/m (12)

---

(5)
This record from the Open Quantum Materials Database describes a relaxed structure of Rb2P2Pd. The functional is PBE-GGA.

Cell lengths 8.038, 8.038, 6.094 Å; angles 90.00, 90.00, 131.22 degrees
Atoms (fractional coordinates):
P 0.058 0.270 0.250
P 0.730 0.942 0.250
P 0.270 0.058 0.750
P 0.942 0.730 0.750
Pd 0.000 0.000 0.000
Pd 0.000 0.000 0.500
Rb 0.578 0.422 0.250
Rb 0.213 0.787 0.250
Rb 0.787 0.213 0.750
Rb 0.422 0.578 0.750

Output
E_tot: -4.10 eV per atom
symmetry: Cmcm (63)

---

(6)
This record from the Open Quantum Materials Database describes a relaxed structure of Rb4P2PdS8. The functional is PBE-GGA.

Cell lengths 6.693, 7.144, 9.357 Å; angles 87.45, 80.96, 85.18 degrees
Atoms (fractional coordinates):
P 0.829 0.735 0.258
P 0.171 0.265 0.742
Pd 0.000 0.000 0.000
Rb 0.290 0.331 0.143
Rb 0.744 0.222 0.480
Rb 0.256 0.778 0.520
Rb 0.710 0.669 0.857
S 0.687 0.960 0.151
S 0.126 0.807 0.182
S 0.776 0.485 0.184
S 0.764 0.743 0.477
S 0.236 0.257 0.523
S 0.224 0.515 0.816
S 0.874 0.193 0.818
S 0.313 0.040 0.849

Output
E_tot: -4.38 eV per atom
symmetry: P-1 (2)

---

(7)
This record from the Open Quantum Materials Database describes a relaxed structure of RbPPdS4. The functional is PBE-GGA.

Cell lengths 8.295, 8.295, 12.421 Å; angles 90.00, 90.00, 90.00 degrees
Atoms (fractional coordinates):
P 0.500 0.000 0.250
P 0.000 0.500 0.250
P 0.500 0.000 0.750
P 0.000 0.500 0.750
Pd 0.500 0.000 0.000
Pd 0.000 0.500 0.000
Pd 0.500 0.000 0.500
Pd 0.000 0.500 0.500
Rb 0.000 0.000 0.250
Rb 0.500 0.500 0.250
Rb 0.000 0.000 0.750
Rb 0.500 0.500 0.750
S 0.367 0.133 0.142
S 0.867 0.367 0.142
S 0.133 0.633 0.142
S 0.633 0.867 0.142
S 0.633 0.133 0.358
S 0.133 0.367 0.358
S 0.867 0.633 0.358
S 0.367 0.867 0.358
S 0.633 0.133 0.642
S 0.133 0.367 0.642
S 0.867 0.633 0.642
S 0.367 0.867 0.642
S 0.367 0.133 0.858
S 0.867 0.367 0.858
S 0.133 0.633 0.858
S 0.633 0.867 0.858

Output
E_tot: -4.66 eV per atom
symmetry: I4/mcm (140)

---

(8)
This record from the Open Quantum Materials Database describes a relaxed structure of Rb4P2PdSe8. The functional is PBE-GGA.

Cell lengths 6.976, 7.439, 9.893 Å; angles 87.97, 82.14, 86.53 degrees
Atoms (fractional coordinates):
P 0.828 0.733 0.258
P 0.172 0.267 0.742
Pd 0.000 0.000 0.000
Rb 0.279 0.336 0.139
Rb 0.746 0.222 0.479
Rb 0.254 0.778 0.521
Rb 0.721 0.664 0.861
Se 0.683 0.962 0.144
Se 0.135 0.813 0.180
Se 0.775 0.470 0.182
Se 0.760 0.744 0.482
Se 0.240 0.256 0.518
Se 0.225 0.530 0.818
Se 0.865 0.187 0.820
Se 0.317 0.038 0.856

Output
E_tot: -3.91 eV per atom
symmetry: P-1 (2)